(1)
Nb2CdAu after structural relaxation. Source: Alexandria via LeMat-Bulk, functional PBE.

```
8
Lattice="-3.8579 3.8579 2.7185 3.8579 -3.8579 2.7185 3.8579 3.8579 -2.7185" Properties=species:S:1:pos:R:3 pbc="T T T"
Nb 5.7869 1.8047 -0.6796
Nb 1.8047 1.9290 0.6796
Nb -1.9290 2.0532 2.0389
Nb 2.0532 1.9290 3.3981
Cd 3.8579 0.0000 1.3592
Cd 0.0000 0.0000 2.7185
Au 0.0000 0.0000 0.0000
Au 0.0000 3.8579 1.3592
```

Formation energy   497 meV per atom
Space-group type   I-42d
DOS(E_F)   7.61 states/eV/cell
Electronic total energy   -0.411 Ry/atom



(2)
NbCdAu2 after structural relaxation. Source: Alexandria via LeMat-Bulk, functional PBE.

```
4
Lattice="1.4893 0.8598 9.7359 -1.4893 0.8598 9.7359 0.0000 -1.7197 9.7359" Properties=species:S:1:pos:R:3 pbc="T T T"
Nb 0.0000 0.0000 0.0000
Cd 0.0000 0.0000 14.6038
Au 0.0000 0.0000 7.3806
Au 0.0000 0.0000 21.8271
```

Formation energy   -31 meV per atom
Space-group type   R-3m
DOS(E_F)   2.77 states/eV/cell
Electronic total energy   -0.325 Ry/atom



(3)
Nb3CdAu after structural relaxation. Source: Alexandria via LeMat-Bulk, functional PBE.

```
5
Lattice="4.9711 0.0000 0.0000 0.0000 4.9711 0.0000 0.0000 0.0000 4.9711" Properties=species:S:1:pos:R:3 pbc="T T T"
Nb 0.0000 0.0000 2.4856
Nb 0.0000 2.4856 0.0000
Nb 2.4856 0.0000 0.0000
Cd 0.0000 0.0000 0.0000
Au 2.4856 2.4856 2.4856
```

Formation energy   1928 meV per atom
Space-group type   Pm-3m
DOS(E_F)   4.82 states/eV/cell
Relative energy among the computed polymorphs   514 meV/atom
Electronic total energy   -0.364 Ry/atom



(4)
NbCdPdAu after structural relaxation. Source: Alexandria via LeMat-Bulk, functional PBE.

```
4
Lattice="2.9526 0.0000 0.0000 0.0000 2.9526 0.0000 0.0000 0.0000 8.1466" Properties=species:S:1:pos:R:3 pbc="T T T"
Nb 0.0000 0.0000 0.0000
Cd 0.0000 0.0000 4.2209
Pd 1.4763 1.4763 6.2530
Au 1.4763 1.4763 2.0252
```

Formation energy   -252 meV per atom
Space-group type   P4mm
DOS(E_F)   1.23 states/eV/cell
Relative energy among the computed polymorphs   0 meV/atom
Electronic total energy   -0.376 Ry/atom